A crystal of LaInC2 relaxed with PBEsol, computed with SCAN. Values from VASP.

**ΔE_f**: 885 meV/atom

The structure in Quantum ESPRESSO input format:
```
&SYSTEM
  ibrav = 0, nat = 8, ntyp = 3
/
ATOMIC_SPECIES
C 12.01 C.upf
In 114.82 In.upf
La 138.91 La.upf
CELL_PARAMETERS angstrom
-3.189 -1.684 3.465
3.652 -2.754 2.022
1.270 6.895 0.911
ATOMIC_POSITIONS crystal
C 0.420 0.875 0.250
C 0.830 0.375 0.250
C 0.125 0.170 0.750
C 0.625 0.580 0.750
In 0.750 0.250 0.500
In 0.500 0.500 0.000
La 0.250 0.750 0.500
La 0.000 0.000 0.000
```


A crystal of RbLiIn2C relaxed with PBEsol, computed with SCAN. Values from VASP.

**ΔE_f**: 1810 meV/atom

The structure in Quantum ESPRESSO input format:
```
&SYSTEM
  ibrav = 0, nat = 5, ntyp = 4
/
ATOMIC_SPECIES
C 12.01 C.upf
Li 6.94 Li.upf
Rb 85.47 Rb.upf
In 114.82 In.upf
CELL_PARAMETERS angstrom
-3.927 -0.887 2.373
-1.101 -4.769 -3.606
3.106 -3.590 3.798
ATOMIC_POSITIONS crystal
C 0.500 0.000 0.000
Li 0.500 0.500 0.500
Rb 0.000 0.000 0.000
In 0.000 0.000 0.500
In 0.000 0.500 0.000
```


A crystal of MgInRe2C relaxed with PBEsol, computed with SCAN. Values from VASP.

**ΔE_f**: 3533 meV/atom

The structure in Quantum ESPRESSO input format:
```
&SYSTEM
  ibrav = 0, nat = 5, ntyp = 4
/
ATOMIC_SPECIES
Re 186.21 Re.upf
Mg 24.30 Mg.upf
C 12.01 C.upf
In 114.82 In.upf
CELL_PARAMETERS angstrom
4.884 0.000 0.000
0.000 4.923 0.000
0.000 0.000 4.923
ATOMIC_POSITIONS crystal
Re 0.000 0.000 0.500
Re 0.000 0.500 0.000
Mg 0.500 0.000 0.000
C 0.500 0.500 0.500
In 0.000 0.000 0.000
```


A crystal of TiMn2InC relaxed with PBEsol, computed with SCAN. Values from VASP.

**ΔE_f**: -266 meV/atom

The structure in Quantum ESPRESSO input format:
```
&SYSTEM
  ibrav = 0, nat = 5, ntyp = 4
/
ATOMIC_SPECIES
C 12.01 C.upf
Mn 54.94 Mn.upf
Ti 47.87 Ti.upf
In 114.82 In.upf
CELL_PARAMETERS angstrom
3.881 0.000 0.000
0.000 3.881 0.000
0.000 0.000 4.182
ATOMIC_POSITIONS crystal
C 0.000 0.000 0.000
Mn 0.000 0.500 0.000
Mn 0.500 0.000 0.000
Ti 0.000 0.000 0.500
In 0.500 0.500 0.500
```


A crystal of InMo2CS relaxed with PBEsol, computed with SCAN. Values from VASP.

The structure in Quantum ESPRESSO input format:
```
&SYSTEM
  ibrav = 0, nat = 5, ntyp = 4
/
ATOMIC_SPECIES
C 12.01 C.upf
Mo 95.94 Mo.upf
S 32.06 S.upf
In 114.82 In.upf
CELL_PARAMETERS angstrom
-1.283 -4.107 -0.450
2.978 -1.246 2.881
-3.293 0.626 3.675
ATOMIC_POSITIONS crystal
C 0.500 0.500 0.500
Mo 0.000 0.500 0.000
Mo 0.500 0.000 0.000
S 0.000 0.000 0.000
In 0.000 0.000 0.500
```


A crystal of InCN2O relaxed with PBEsol, computed with SCAN. Values from VASP.

The structure in Quantum ESPRESSO input format:
```
&SYSTEM
  ibrav = 0, nat = 5, ntyp = 4
/
ATOMIC_SPECIES
C 12.01 C.upf
N 14.01 N.upf
O 16.00 O.upf
In 114.82 In.upf
CELL_PARAMETERS angstrom
-1.504 1.607 -2.125
-2.407 0.226 1.875
2.025 4.601 2.045
ATOMIC_POSITIONS crystal
C 0.000 0.000 0.000
N 0.000 0.500 0.000
N 0.500 0.000 0.000
O 0.000 0.000 0.500
In 0.500 0.500 0.500
```


A crystal of Nb2InC relaxed with PBEsol, computed with SCAN. Values from VASP.

**ΔE_f**: -469 meV/atom

The structure in Quantum ESPRESSO input format:
```
&SYSTEM
  ibrav = 0, nat = 8, ntyp = 3
/
ATOMIC_SPECIES
Nb 92.91 Nb.upf
In 114.82 In.upf
C 12.01 C.upf
CELL_PARAMETERS angstrom
-0.453 -3.032 -0.812
0.212 0.807 3.060
-14.175 1.996 0.454
ATOMIC_POSITIONS crystal
Nb 0.333 0.667 0.083
Nb 0.667 0.333 0.917
Nb 0.667 0.333 0.583
Nb 0.333 0.667 0.417
In 0.333 0.667 0.750
In 0.667 0.333 0.250
C 0.000 0.000 0.000
C 0.000 0.000 0.500
```


A crystal of Nd3InC relaxed with PBEsol, computed with SCAN. Values from VASP.

**ΔE_f**: -475 meV/atom

The structure in Quantum ESPRESSO input format:
```
&SYSTEM
  ibrav = 0, nat = 5, ntyp = 3
/
ATOMIC_SPECIES
C 12.01 C.upf
Nd 144.24 Nd.upf
In 114.82 In.upf
CELL_PARAMETERS angstrom
-1.187 0.815 4.849
1.971 -4.491 1.238
4.505 2.180 0.736
ATOMIC_POSITIONS crystal
C 0.500 0.500 0.500
Nd 0.500 0.500 0.000
Nd 0.000 0.500 0.500
Nd 0.500 0.000 0.500
In 0.000 0.000 0.000
```


A crystal of In3NiC relaxed with PBEsol, computed with SCAN. Values from VASP.

**ΔE_f**: 1133 meV/atom

The structure in Quantum ESPRESSO input format:
```
&SYSTEM
  ibrav = 0, nat = 5, ntyp = 3
/
ATOMIC_SPECIES
Ni 58.69 Ni.upf
C 12.01 C.upf
In 114.82 In.upf
CELL_PARAMETERS angstrom
4.557 0.000 0.000
0.000 4.557 0.000
0.000 0.000 4.557
ATOMIC_POSITIONS crystal
Ni 0.500 0.500 0.500
C 0.000 0.000 0.000
In 0.000 0.500 0.000
In 0.000 0.000 0.500
In 0.500 0.000 0.000
```


A crystal of TiInOs2C relaxed with PBEsol, computed with SCAN. Values from VASP.

**ΔE_f**: 2737 meV/atom

The structure in Quantum ESPRESSO input format:
```
&SYSTEM
  ibrav = 0, nat = 5, ntyp = 4
/
ATOMIC_SPECIES
C 12.01 C.upf
Ti 47.87 Ti.upf
Os 190.23 Os.upf
In 114.82 In.upf
CELL_PARAMETERS angstrom
3.811 0.000 0.000
0.000 4.892 0.000
0.000 0.000 4.892
ATOMIC_POSITIONS crystal
C 0.500 0.000 0.000
Ti 0.500 0.500 0.500
Os 0.000 0.000 0.500
Os 0.000 0.500 0.000
In 0.000 0.000 0.000
```


A crystal of In2PC relaxed with PBEsol, computed with SCAN. Values from VASP.

**ΔE_f**: 1418 meV/atom

The structure in Quantum ESPRESSO input format:
```
&SYSTEM
  ibrav = 0, nat = 4, ntyp = 3
/
ATOMIC_SPECIES
P 30.97 P.upf
C 12.01 C.upf
In 114.82 In.upf
CELL_PARAMETERS angstrom
4.571 0.000 0.000
2.285 3.958 0.000
2.285 1.319 3.732
ATOMIC_POSITIONS crystal
P 0.500 0.500 0.500
C 0.000 0.000 0.000
In 0.250 0.250 0.250
In 0.750 0.750 0.750
```


A crystal of InPC2 relaxed with PBEsol, computed with SCAN. Values from VASP.

**ΔE_f**: 386 meV/atom

The structure in Quantum ESPRESSO input format:
```
&SYSTEM
  ibrav = 0, nat = 8, ntyp = 3
/
ATOMIC_SPECIES
P 30.97 P.upf
C 12.01 C.upf
In 114.82 In.upf
CELL_PARAMETERS angstrom
-1.672 -2.814 3.437
-1.922 -0.965 -5.003
1.812 -3.785 -2.218
ATOMIC_POSITIONS crystal
P 0.250 0.500 0.250
P 0.500 0.000 0.500
C 0.548 0.750 0.375
C 0.202 0.750 0.875
C 0.875 0.250 0.548
C 0.375 0.250 0.202
In 0.750 0.500 0.750
In 0.000 0.000 0.000
```


A crystal of InPRuC2 relaxed with PBEsol, computed with SCAN. Values from VASP.

**ΔE_f**: 1970 meV/atom

The structure in Quantum ESPRESSO input format:
```
&SYSTEM
  ibrav = 0, nat = 5, ntyp = 4
/
ATOMIC_SPECIES
Ru 101.07 Ru.upf
C 12.01 C.upf
P 30.97 P.upf
In 114.82 In.upf
CELL_PARAMETERS angstrom
3.570 0.000 0.000
0.000 3.570 0.000
0.000 0.000 6.056
ATOMIC_POSITIONS crystal
Ru 0.500 0.500 0.500
C 0.000 0.500 0.000
C 0.500 0.000 0.000
P 0.000 0.000 0.000
In 0.000 0.000 0.500
```


A crystal of InPCS2 relaxed with PBEsol, computed with SCAN. Values from VASP.

The structure in Quantum ESPRESSO input format:
```
&SYSTEM
  ibrav = 0, nat = 5, ntyp = 4
/
ATOMIC_SPECIES
P 30.97 P.upf
S 32.06 S.upf
C 12.01 C.upf
In 114.82 In.upf
CELL_PARAMETERS angstrom
3.598 0.000 0.000
0.000 4.662 0.000
0.000 0.000 4.662
ATOMIC_POSITIONS crystal
P 0.500 0.000 0.000
S 0.000 0.000 0.500
S 0.000 0.500 0.000
C 0.000 0.000 0.000
In 0.500 0.500 0.500
```


A crystal of InPbC2 relaxed with PBEsol, computed with SCAN. Values from VASP.

**ΔE_f**: 2345 meV/atom

The structure in Quantum ESPRESSO input format:
```
&SYSTEM
  ibrav = 0, nat = 4, ntyp = 3
/
ATOMIC_SPECIES
Pb 207.20 Pb.upf
C 12.01 C.upf
In 114.82 In.upf
CELL_PARAMETERS angstrom
4.431 0.000 0.000
2.215 3.837 0.000
2.215 1.279 3.618
ATOMIC_POSITIONS crystal
Pb 0.500 0.500 0.500
C 0.250 0.250 0.250
C 0.750 0.750 0.750
In 0.000 0.000 0.000
```


A crystal of InTc2PbC relaxed with PBEsol, computed with SCAN. Values from VASP.

**ΔE_f**: 3057 meV/atom

The structure in Quantum ESPRESSO input format:
```
&SYSTEM
  ibrav = 0, nat = 5, ntyp = 4
/
ATOMIC_SPECIES
Pb 207.20 Pb.upf
C 12.01 C.upf
Tc 98.00 Tc.upf
In 114.82 In.upf
CELL_PARAMETERS angstrom
5.135 0.000 0.000
0.000 5.135 0.000
0.000 0.000 5.538
ATOMIC_POSITIONS crystal
Pb 0.000 0.000 0.000
C 0.500 0.500 0.500
Tc 0.000 0.500 0.000
Tc 0.500 0.000 0.000
In 0.000 0.000 0.500
```


A crystal of TiIn2PbC relaxed with PBEsol, computed with SCAN. Values from VASP.

**ΔE_f**: 986 meV/atom

The structure in Quantum ESPRESSO input format:
```
&SYSTEM
  ibrav = 0, nat = 5, ntyp = 4
/
ATOMIC_SPECIES
Pb 207.20 Pb.upf
C 12.01 C.upf
Ti 47.87 Ti.upf
In 114.82 In.upf
CELL_PARAMETERS angstrom
-2.509 -1.364 3.420
3.332 -2.602 1.406
1.873 4.004 2.971
ATOMIC_POSITIONS crystal
Pb 0.000 0.000 0.500
C 0.000 0.000 0.000
Ti 0.500 0.500 0.500
In 0.000 0.500 0.000
In 0.500 0.000 0.000
```


A crystal of InPd2C relaxed with PBEsol, computed with SCAN. Values from VASP.

**ΔE_f**: 973 meV/atom

The structure in Quantum ESPRESSO input format:
```
&SYSTEM
  ibrav = 0, nat = 4, ntyp = 3
/
ATOMIC_SPECIES
C 12.01 C.upf
Pd 106.42 Pd.upf
In 114.82 In.upf
CELL_PARAMETERS angstrom
-2.531 1.966 -2.900
-4.210 -0.960 -0.198
-2.939 2.889 1.303
ATOMIC_POSITIONS crystal
C 0.000 0.000 0.000
Pd 0.250 0.250 0.250
Pd 0.750 0.750 0.750
In 0.500 0.500 0.500
```


A crystal of InPdC3 relaxed with PBEsol, computed with SCAN. Values from VASP.

**ΔE_f**: 3317 meV/atom

The structure in Quantum ESPRESSO input format:
```
&SYSTEM
  ibrav = 0, nat = 5, ntyp = 3
/
ATOMIC_SPECIES
C 12.01 C.upf
Pd 106.42 Pd.upf
In 114.82 In.upf
CELL_PARAMETERS angstrom
4.211 0.000 0.000
0.000 4.211 0.000
0.000 0.000 4.211
ATOMIC_POSITIONS crystal
C 0.000 0.500 0.000
C 0.000 0.000 0.500
C 0.500 0.000 0.000
Pd 0.500 0.500 0.500
In 0.000 0.000 0.000
```


A crystal of In3PdC relaxed with PBEsol, computed with SCAN. Values from VASP.

**ΔE_f**: 1037 meV/atom

The structure in Quantum ESPRESSO input format:
```
&SYSTEM
  ibrav = 0, nat = 5, ntyp = 3
/
ATOMIC_SPECIES
C 12.01 C.upf
Pd 106.42 Pd.upf
In 114.82 In.upf
CELL_PARAMETERS angstrom
5.055 0.000 0.000
0.000 5.055 0.000
0.000 0.000 5.055
ATOMIC_POSITIONS crystal
C 0.500 0.500 0.500
Pd 0.000 0.000 0.000
In 0.000 0.500 0.000
In 0.000 0.000 0.500
In 0.500 0.000 0.000
```


| no. | uncorrected energy (eV per atom) |
| --- | --- |
| 1 | -23.29 |
| 2 | -18.19 |
| 3 | -34.60 |
| 4 | -19.47 |
| 5 | -22.47 |
| 6 | -12.32 |
| 7 | -27.91 |
| 8 | -35.32 |
| 9 | -24.15 |
| 10 | -37.92 |
| 11 | -20.40 |
| 12 | -15.61 |
| 13 | -17.79 |
| 14 | -13.58 |
| 15 | -30.00 |
| 16 | -34.82 |
| 17 | -32.75 |
| 18 | -26.29 |
| 19 | -15.98 |
| 20 | -27.57 |